# CoAgPd2F8

CoAgPd2F8 after structural relaxation (PBE with a Hubbard U, Alexandria).

## Properties
calculated total energy = -94.66 eV per cell

a = 6.7915 Å, b = 6.7915 Å, c = 7.7849 Å
α = 90.00°, β = 90.00°, γ = 90.00°
Last column: nearest neighbours and their distance in Å.
Space group I-4m2 (No. 119)
Asymmetric unit:
Co  0.0000  0.0000  0.0000  4 F 2.01
Ag  0.0000  0.5000  0.7500  4 F 2.15
Pd  0.0000  0.0000  0.5000  4 F 2.07
Pd  0.0000  0.5000  0.2500  4 F 2.11
F  0.0000  0.1865  0.7110  1 Pd 2.07, 1 Ag 2.15
F  0.0000  0.2901  0.0500  1 Co 2.01, 1 Pd 2.11